1.
Here is CdAs2Rh after structural relaxation from the Alexandria database. Energies are from PBE-GGA.

Unit cell a=3.007 b=3.007 c=8.188 alpha=90.00 beta=90.00 gamma=90.00
Space group P4mm (No. 99)
Symmetry-distinct sites (fractional):
Cd1 0.000 0.000 0.000 [1 per cell]
As1 0.000 0.000 0.418 [1 per cell]
As2 0.500 0.500 0.724 [1 per cell]
Rh1 0.500 0.500 0.250 [1 per cell]

Results
* total energy: -17.9 eV/cell

---

2.
Here is ZrOsSe2 after structural relaxation from the Alexandria database. Energies are from PBE-GGA.

Unit cell a=10.003 b=3.411 c=4.744 alpha=90.00 beta=96.60 gamma=90.00
Space group Cm (No. 8)
Symmetry-distinct sites (fractional):
Zr1 0.000 0.000 0.000 [2 per cell]
Os1 0.204 0.500 0.212 [2 per cell]
Se1 0.001 0.500 0.474 [2 per cell]
Se2 0.260 0.000 0.870 [2 per cell]

Results
* formation energy (no corrections): -1.20 eV per formula unit
* total energy: -55.9 eV/cell

---

3.
Here is ScBiIrO6 after structural relaxation from the Alexandria database. Energies are from PBE-GGA.

Unit cell a=5.3329 b=5.3329 c=9.7645 alpha=90.00 beta=90.00 gamma=120.00
Space group P-31c (No. 163)
Symmetry-distinct sites (fractional):
Sc1 0.3333 0.6667 0.2500 [2 per cell]
Bi1 0.0000 0.0000 0.0000 [2 per cell]
Ir1 0.3333 0.6667 0.7500 [2 per cell]
O1 0.0202 0.3703 0.6374 [12 per cell]

Results
* formation energy (no corrections): -14.19 eV per formula unit
* total energy: -126.0 eV/cell

---

4.
Here is BeGa2Sn2 after structural relaxation from the Alexandria database. Energies are from PBE-GGA.

Unit cell a=6.706 b=6.706 c=5.038 alpha=90.00 beta=90.00 gamma=90.00
Space group P4/mbm (No. 127)
Symmetry-distinct sites (fractional):
Be1 0.000 0.000 0.000 [2 per cell]
Ga1 0.157 0.343 0.500 [4 per cell]
Sn1 0.158 0.658 0.000 [4 per cell]

Results
* total energy: -32.3 eV/cell

---

5.
Here is Nd2CdCu after structural relaxation from the Alexandria database. Energies are from PBE-GGA.

Unit cell a=7.483 b=7.483 c=7.483 alpha=90.00 beta=90.00 gamma=90.00
Space group Fm-3m (No. 225)
Symmetry-distinct sites (fractional):
Nd1 0.250 0.250 0.250 [8 per cell]
Cd1 0.000 0.000 0.000 [4 per cell]
Cu1 0.000 0.000 0.500 [4 per cell]

Results
* total energy: -61.1 eV/cell

---

6.
Here is Ba2AsH after structural relaxation from the Alexandria database. Energies are from PBE-GGA.

Unit cell a=6.390 b=6.390 c=14.950 alpha=90.00 beta=90.00 gamma=90.00
Space group I-42d (No. 122)
Symmetry-distinct sites (fractional):
Ba1 0.207 0.250 0.125 [8 per cell]
As1 0.000 0.000 0.500 [4 per cell]
H1 0.000 0.000 0.000 [4 per cell]

Results
* total energy: -57.9 eV/cell